No. 1
# PBE-GGA SmDyGe2Au2, relaxed
data_SmDyGe2Au2
_chemical_formula_sum 'Sm1 Dy1 Ge2 Au2'
_space_group_name_H-M_alt 'P 3 m 1'
_space_group_IT_number 156
_cell_length_a 4.4929
_cell_length_b 4.4929
_cell_length_c 7.4514
_cell_angle_alpha 90.00
_cell_angle_beta 90.00
_cell_angle_gamma 120.00
loop_
_space_group_symop_operation_xyz
'x,y,z'
'-y,x-y,z'
'-x+y,-x,z'
'-y,-x,z'
'-x+y,y,z'
'x,x-y,z'
loop_
_atom_site_label
_atom_site_type_symbol
_atom_site_fract_x
_atom_site_fract_y
_atom_site_fract_z
_atom_site_occupancy
Sm1 Sm 0.0000 0.0000 0.0000 1
Dy1 Dy 0.0000 0.0000 0.4987 1
Ge1 Ge 0.3333 0.6667 0.7048 1
Ge2 Ge 0.6667 0.3333 0.2118 1
Au1 Au 0.3333 0.6667 0.2949 1
Au2 Au 0.6667 0.3333 0.7742 1
# Total DFT energy (no corrections): -5.021 eV/atom



No. 2
# PBE-GGA DyTm2TlCd3Ga2, relaxed
data_DyTm2TlCd3Ga2
_chemical_formula_sum 'Dy2 Tm4 Tl2 Cd6 Ga4'
_space_group_name_H-M_alt 'A m m 2'
_space_group_IT_number 38
_cell_length_a 4.5025
_cell_length_b 12.6555
_cell_length_c 7.2827
_cell_angle_alpha 90.00
_cell_angle_beta 90.00
_cell_angle_gamma 90.00
loop_
_space_group_symop_operation_xyz
'x,y,z'
'-x,-y,z'
'-x,y,z'
'x,-y,z'
'x,y+1/2,z+1/2'
'-x,-y+1/2,z+1/2'
'-x,y+1/2,z+1/2'
'x,-y+1/2,z+1/2'
loop_
_atom_site_label
_atom_site_type_symbol
_atom_site_fract_x
_atom_site_fract_y
_atom_site_fract_z
_atom_site_occupancy
Dy1 Dy 0.0000 0.0000 0.0000 1
Tm1 Tm 0.0000 0.2179 0.3474 1
Tl1 Tl 0.0000 0.0000 0.5629 1
Cd1 Cd 0.5000 0.0000 0.3045 1
Cd2 Cd 0.5000 0.1302 0.6950 1
Ga1 Ga 0.5000 0.1676 0.0651 1
# Total DFT energy (no corrections): -3.161 eV/atom



No. 3
# PBE-GGA SmCl, relaxed
data_SmCl
_chemical_formula_sum 'Sm4 Cl4'
_space_group_name_H-M_alt 'F m -3 m'
_space_group_IT_number 225
_space_group_name_Hall '-F 4 2 3'
_cell_length_a 5.6766
_cell_length_b 5.6766
_cell_length_c 5.6766
_cell_angle_alpha 90.00
_cell_angle_beta 90.00
_cell_angle_gamma 90.00
loop_
_atom_site_label
_atom_site_type_symbol
_atom_site_fract_x
_atom_site_fract_y
_atom_site_fract_z
_atom_site_occupancy
Sm1 Sm 0.0000 0.0000 0.0000 1
Cl1 Cl 0.0000 0.0000 0.5000 1
# Total DFT energy (no corrections): -4.446 eV/atom